No. 1
A relaxed structure of CsPbO2. Source: Alexandria via LeMat-Bulk, functional PBE-GGA.

Cell and atoms, written as extended XYZ:
```
4
Lattice="3.263 0.000 0.000 0.000 3.263 0.000 0.000 0.000 7.092" Properties=species:S:1:pos:R:3 pbc="T T T"
Cs 0.000 0.000 0.000
Pb 0.000 0.000 3.546
O 1.631 1.631 2.195
O 1.631 1.631 4.897
```

Summary:
Fermi-level density of states   1.04 states/eV/f.u.
Size of the total moment   0.0 μB/cell
Formation energy without anion corrections   -0.641 eV/atom

No. 2
A relaxed structure of VNi2Pt2. Source: Alexandria via LeMat-Bulk, functional PBE-GGA.

Cell and atoms, written as extended XYZ:
```
10
Lattice="4.550 -2.303 0.000 4.550 2.303 0.000 -2.457 0.000 6.322" Properties=species:S:1:pos:R:3 pbc="T T T"
V 2.707 1.466 4.741
V 3.936 -1.466 1.580
Ni 3.553 0.717 0.346
Ni 4.318 0.717 2.815
Ni 2.325 -0.717 3.507
Ni 3.089 -0.717 5.975
Pt 0.132 0.731 4.087
Pt 1.361 -0.731 0.926
Pt 5.282 0.731 5.396
Pt 6.510 -0.731 2.235
```

Summary:
Fermi-level density of states   6.33 states/eV/f.u.
Formation enthalpy at 0 K   -0.329 eV/atom
Size of the total moment   0.0 μB/cell
Polymorph energy (0 for the lowest one)   0.01 eV per formula unit

What is the size of the total moment in the first record? 0.0 μB/cell

Which value of size of the total moment does entry 2 give? 0.0 μB/cell